(1)
Here is an optimized crystal structure of ScAuBr from Alexandria. Energies are from PBE.

Cell and atoms, written as CIF:
```
data_ScAuBr
_chemical_formula_sum 'Sc4 Au4 Br4'
_cell_length_a 6.7533
_cell_length_b 6.7533
_cell_length_c 6.7533
_cell_angle_alpha 90.00
_cell_angle_beta 90.00
_cell_angle_gamma 90.00
_symmetry_space_group_name_H-M 'F -4 3 m'
_symmetry_Int_Tables_number 216
_symmetry_space_group_name_Hall 'F -4 2 3'
loop_
_atom_site_label
_atom_site_type_symbol
_atom_site_fract_x
_atom_site_fract_y
_atom_site_fract_z
Sc1 Sc 0.0000 0.0000 0.0000
Au1 Au 0.2500 0.2500 0.2500
Br1 Br 0.0000 0.0000 0.5000
```

DOS at the Fermi energy = 0.476 states/eV per atom
Distance to the lowest polymorph of the same formula = 828.3 meV per atom
E_form (uncorrected) = -0.230 eV/atom
Total magnetization = 0.0 μB per cell



(2)
Here is an optimized crystal structure of Ba2ZrPd from Alexandria. Energies are from PBE.

Cell and atoms, written as CIF:
```
data_Ba2ZrPd
_chemical_formula_sum 'Ba8 Zr4 Pd4'
_cell_length_a 11.7970
_cell_length_b 11.7970
_cell_length_c 5.1404
_cell_angle_alpha 90.00
_cell_angle_beta 90.00
_cell_angle_gamma 90.00
_symmetry_space_group_name_H-M 'I -4 2 d'
_symmetry_Int_Tables_number 122
_symmetry_space_group_name_Hall 'I -4 2bw'
loop_
_atom_site_label
_atom_site_type_symbol
_atom_site_fract_x
_atom_site_fract_y
_atom_site_fract_z
Ba1 Ba 0.0991 0.7500 0.1250
Zr1 Zr 0.0000 0.0000 0.5000
Pd1 Pd 0.0000 0.0000 0.0000
```

DOS at the Fermi energy = 1.014 states/eV per atom
Distance to the lowest polymorph of the same formula = 0.0 meV per atom
Formation energy from the elements = 27.0 kJ per mole of atoms
Total magnetization = 4.1 μB per cell



(3)
Here is an optimized crystal structure of LaIn2Ir from Alexandria. Energies are from PBE.

Cell and atoms, written as CIF:
```
data_LaIn2Ir
_chemical_formula_sum 'La2 In4 Ir2'
_cell_length_a 5.4366
_cell_length_b 8.2612
_cell_length_c 4.7007
_cell_angle_alpha 90.00
_cell_angle_beta 90.00
_cell_angle_gamma 90.00
_symmetry_space_group_name_H-M 'C m m m'
_symmetry_Int_Tables_number 65
_symmetry_space_group_name_Hall '-C 2 2'
loop_
_atom_site_label
_atom_site_type_symbol
_atom_site_fract_x
_atom_site_fract_y
_atom_site_fract_z
La1 La 0.0000 0.0000 0.0000
In1 In 0.0000 0.3240 0.5000
Ir1 Ir 0.0000 0.5000 0.0000
```

DOS at the Fermi energy = 0.712 states/eV per atom
Formation energy from the elements = -40.4 kJ per mole of atoms
Total magnetization = 0.0 μB per cell



(4)
Here is an optimized crystal structure of HfSeIN2 from Alexandria. Energies are from PBE.

Cell and atoms, written as CIF:
```
data_HfSeIN2
_chemical_formula_sum 'Hf1 Se1 I1 N2'
_cell_length_a 4.0750
_cell_length_b 4.0750
_cell_length_c 5.3047
_cell_angle_alpha 90.00
_cell_angle_beta 90.00
_cell_angle_gamma 90.00
_symmetry_space_group_name_H-M 'P 4/m m m'
_symmetry_Int_Tables_number 123
_symmetry_space_group_name_Hall '-P 4 2'
loop_
_atom_site_label
_atom_site_type_symbol
_atom_site_fract_x
_atom_site_fract_y
_atom_site_fract_z
Hf1 Hf 0.0000 0.0000 0.0000
Se1 Se 0.5000 0.5000 0.0000
I1 I 0.5000 0.5000 0.5000
N1 N 0.0000 0.5000 0.5000
```

DOS at the Fermi energy = 0.417 states/eV per atom
Distance to the lowest polymorph of the same formula = 1148.0 meV per atom
E_form (uncorrected) = 1.554 eV/atom
Total magnetization = 0.0 μB per cell